{
  "formula": "NpSbP",
  "functional": "GGA-PBE",
  "state": "optimized geometry",
  "dft_energy_ev_per_atom": -7.63,
  "magnetic_moment_mub_per_cell": 0.4,
  "relative_energy_ev_per_atom": 0.0806,
  "volume_a3_per_atom": 24.08,
  "formation_energy_uncorrected_ev_per_atom": -0.142,
  "cell": [[4.562, 0.000, 0.000], [-2.281, 3.951, 0.000], [0.000, 0.000, 8.017]],
  "species": ["Np", "Np", "P", "P", "Sb", "Sb"],
  "fractional_positions": [[0.000, 0.000, 0.857], [0.000, 0.000, 0.143], [0.333, 0.667, 0.002], [0.667, 0.333, 0.998], [0.667, 0.333, 0.651], [0.333, 0.667, 0.349]]
}



{
  "formula": "NpScP",
  "functional": "GGA-PBE",
  "state": "optimized geometry",
  "dft_energy_ev_per_atom": -8.91,
  "ef_ev_per_atom": -0.681,
  "magnetic_moment_mub_per_cell": 1.2,
  "volume_a3_per_atom": 18.92,
  "cell": [[-0.896, -3.489, 0.379], [4.451, -1.323, -1.662], [0.464, 2.477, 6.587]],
  "species": ["P", "P", "Np", "Np", "Sc", "Sc"],
  "fractional_positions": [[0.860, 0.360, 0.720], [0.140, 0.640, 0.280], [0.500, 0.749, 0.000], [0.500, 0.251, 0.000], [0.206, 0.206, 0.411], [0.794, 0.794, 0.589]]
}